# 1
## TaPbW2 (GGA-PBE)

Data for a relaxed TaPbW2 crystal.

Computed properties:
V (Å³/atom): 18.3
Space-group type: No. 216
Total magnetization (μB per formula unit): 0.00
Total DFT energy (no corrections) (eV/atom): -9.590

Cell: 4.695 4.695 4.695 Å, 60.00 60.00 60.00°
Element x y z (fractional)
Ta 0.250 0.250 0.250
W 0.750 0.750 0.750
W 0.000 0.000 0.000
Pb 0.500 0.500 0.500



# 2
## YTa2Pb (GGA-PBE)

Data for a relaxed YTa2Pb crystal.

Computed properties:
V (Å³/atom): 21.8
Space-group type: No. 216
Total magnetization (μB per formula unit): 0.01
Total DFT energy (no corrections) (eV/atom): -8.116

Cell: 4.980 4.980 4.980 Å, 60.00 60.00 60.00°
Element x y z (fractional)
Ta 0.750 0.750 0.750
Ta 0.000 0.000 0.000
Y 0.250 0.250 0.250
Pb 0.500 0.500 0.500



# 3
## TaZn2Pb (GGA-PBE)

Data for a relaxed TaZn2Pb crystal.

Computed properties:
V (Å³/atom): 19.6
Space-group type: No. 216
Total magnetization (μB per formula unit): 1.19
Total DFT energy (no corrections) (eV/atom): -3.802

Cell: 4.803 4.803 4.803 Å, 60.00 60.00 60.00°
Last column: magnetic moment on the atom in μB.
Element x y z (fractional)
Zn 0.000 0.000 0.000  0.00
Zn 0.750 0.750 0.750  0.00
Ta 0.250 0.250 0.250  0.82
Pb 0.500 0.500 0.500  0.02



# 4
## Ta2ZnPb2 (GGA-PBE)

Data for a relaxed Ta2ZnPb2 crystal.

Computed properties:
V (Å³/atom): 23.6
Space-group type: No. 139
Total magnetization (μB per formula unit): 0.01
Total DFT energy (no corrections) (eV/atom): -5.751

Cell: 8.208 8.208 8.208 Å, 152.48 152.48 39.31°
Element x y z (fractional)
Ta 0.250 0.750 0.500
Ta 0.750 0.250 0.500
Pb 0.400 0.400 0.000
Pb 0.600 0.600 0.000
Zn 0.000 0.000 0.000



# 5
## Ta2ZnPb (GGA-PBE)

Data for a relaxed Ta2ZnPb crystal.

Computed properties:
V (Å³/atom): 19.4
Space-group type: No. 216
Total magnetization (μB per formula unit): 0.01
Total DFT energy (no corrections) (eV/atom): -6.493

Cell: 4.785 4.785 4.785 Å, 60.00 60.00 60.00°
Element x y z (fractional)
Zn 0.250 0.250 0.250
Pb 0.500 0.500 0.500
Ta 0.750 0.750 0.750
Ta 0.000 0.000 0.000



# 6
## Zr2TaPb (GGA-PBE)

Data for a relaxed Zr2TaPb crystal.

Computed properties:
V (Å³/atom): 21.5
Space-group type: No. 216
Total magnetization (μB per formula unit): 0.02
Total DFT energy (no corrections) (eV/atom): -7.943

Cell: 4.951 4.951 4.951 Å, 60.00 60.00 60.00°
Element x y z (fractional)
Pb 0.500 0.500 0.500
Zr 0.750 0.750 0.750
Zr 0.000 0.000 0.000
Ta 0.250 0.250 0.250